# NaCeEr2S4

An optimized crystal structure of NaCeEr2S4 (PBE-GGA, Alexandria).

DOS at the Fermi energy   0.85 states/eV/atom
Formation energy without anion corrections   -15.25 eV per formula unit
Magnetic moment   1.21 μB per cell

Cell: 6.836 3.914 6.912 Å, 90.00 108.96 90.00°
Positions (direct):
Na (0.000, 0.000, 0.000)
Ce (0.500, 0.500, 0.000)
Er (0.000, 0.500, 0.500)
Er (0.500, 0.000, 0.500)
S (0.243, 0.000, 0.737)
S (0.255, 0.500, 0.265)
S (0.745, 0.500, 0.735)
S (0.757, 0.000, 0.263)